The following is a DFT calculation (SCAN) of Si3MoRu at its PBEsol-relaxed geometry.

* uncorrected energy: -1.378 Ry/atom
* volume: 96 Å³/f.u.
* formation energy without anion corrections: 1.208 eV/atom
* total moment: 0.604 μB/atom

```
Si3MoRu
1.0
4.581 0.000 0.000
0.000 4.581 0.000
0.000 0.000 4.581
Si Mo Ru
3 1 1
Direct
0.000 0.000 0.500 Si
0.000 0.500 0.000 Si
0.500 0.000 0.000 Si
0.000 0.000 0.000 Mo
0.500 0.500 0.500 Ru
```